First-principles (PBE) data for a geometry-optimized Li4TeN structure, as listed in the Alexandria database.

Lattice parameters (Å, degrees): 6.8908 5.4082 5.2163 90.00 92.34 90.00
With the nearest neighbours (Å) after each atom.
Positions (direct):
Li  0.0502  0.1954  0.3092  2 N 1.95-1.96
Li  0.0502  0.3046  0.8092  2 N 1.95-1.96
Li  0.2773  0.5588  0.4856  1 N 1.94
Li  0.2773  0.9412  0.9856  1 N 1.94
Li  0.7227  0.0588  0.0144  1 N 1.94
Li  0.7227  0.4412  0.5144  1 N 1.94
Li  0.9498  0.6954  0.1908  2 N 1.95-1.96
Li  0.9498  0.8046  0.6908  2 N 1.95-1.96
Te  0.5000  0.0000  0.5000  6 Li 2.84-3.05
Te  0.5000  0.5000  0.0000  6 Li 2.84-3.05
N  0.0000  0.0000  0.0000  6 Li 1.94-1.96
N  0.0000  0.5000  0.5000  6 Li 1.94-1.96

Results
* total magnetization: 0.62 Bohr magnetons per cell
* space group: P2_1/c, No. 14
* formation energy without anion corrections: -0.463 eV/atom
* crystal system: monoclinic
* final energy: -3.650 eV per atom